Version a
A plane-wave DFT calculation with PBE was carried out for a relaxed HfCu2Sn2 crystal.

a b c (Å): 7.5339 7.5339 3.2632
angles (deg): 90.00 90.00 90.00
With the nearest neighbours (Å) after each atom.
Space group P4/mbm (No. 127)
Inequivalent atoms, fractional coordinates:
1 Hf 0.0000 0.0000 0.0000  4 Cu 3.02, 8 Sn 3.21, 2 Hf 3.26
2 Cu 0.1170 0.3830 0.0000  1 Cu 2.49, 2 Sn 2.70
3 Sn 0.1805 0.6805 0.5000  6 Cu 2.70-2.81

Output
M_tot = 0.00 Bohr magnetons per cell
Fermi-level density of states = 5.3 states/eV per cell



Version b
A plane-wave DFT calculation with PBE was carried out for a relaxed HfCu2Sn2 crystal.

a b c (Å): 7.7834 7.7834 3.1453
angles (deg): 90.00 90.00 90.00
With the nearest neighbours (Å) after each atom.
Space group P4/mbm (No. 127)
Inequivalent atoms, fractional coordinates:
1 Hf 0.0000 0.0000 0.0000  4 Sn 2.97, 2 Hf 3.15
2 Cu 0.1468 0.3532 0.5000  6 Sn 2.74-2.79
3 Sn 0.1496 0.6496 0.0000  6 Cu 2.74-2.79, 2 Hf 2.97

Output
M_tot = 0.00 Bohr magnetons per cell
Fermi-level density of states = 3.7 states/eV per cell



Short version: version a is the most stable of them.



Version a
A plane-wave DFT calculation with PBE was carried out for a relaxed SrHf2Cu2 crystal.

a b c (Å): 8.3208 8.3208 2.9637
angles (deg): 90.00 90.00 90.00
With the nearest neighbours (Å) after each atom.
Space group P4/mbm (No. 127)
Inequivalent atoms, fractional coordinates:
1 Sr 0.0000 0.0000 0.0000  2 Sr 2.96, 4 Hf 3.28
2 Hf 0.1269 0.3731 0.0000  6 Cu 2.84-2.88, 3 Hf 2.96-2.99
3 Cu 0.1671 0.6671 0.5000  6 Hf 2.84-2.88, 2 Cu 2.96

Output
M_tot = 0.00 Bohr magnetons per cell
Fermi-level density of states = 8.9 states/eV per cell



Version b
A plane-wave DFT calculation with PBE was carried out for a relaxed SrHf2Cu2 crystal.

a b c (Å): 8.2242 8.2242 3.0817
angles (deg): 90.00 90.00 90.00
With the nearest neighbours (Å) after each atom.
Space group P4/mbm (No. 127)
Inequivalent atoms, fractional coordinates:
1 Sr 0.0000 0.0000 0.0000  2 Sr 3.08, 4 Cu 3.23
2 Hf 0.1555 0.3445 0.5000  6 Cu 2.81-2.94, 2 Hf 3.08
3 Cu 0.1294 0.6294 0.0000  6 Hf 2.81-2.94, 3 Cu 3.01-3.08

Output
M_tot = 0.00 Bohr magnetons per cell
Fermi-level density of states = 12.3 states/eV per cell



Short version: version a is the most stable of them.



Version a
A plane-wave DFT calculation with PBE was carried out for a relaxed SrHfCu3 crystal.

a b c (Å): 4.9966 4.9966 4.9966
angles (deg): 90.00 90.00 90.00
With the nearest neighbours (Å) after each atom.
Space group Pm-3m (No. 221)
Inequivalent atoms, fractional coordinates:
1 Sr 0.0000 0.0000 0.0000  12 Cu 3.53
2 Hf 0.5000 0.5000 0.5000  6 Cu 2.50
3 Cu 0.0000 0.5000 0.5000  2 Hf 2.50

Output
M_tot = 0.00 Bohr magnetons per cell
Fermi-level density of states = 3.7 states/eV per cell



Version b
A plane-wave DFT calculation with PBE was carried out for a relaxed SrHfCu3 crystal.

a b c (Å): 4.8774 4.8774 4.8774
angles (deg): 90.00 90.00 90.00
With the nearest neighbours (Å) after each atom.
Space group Pm-3m (No. 221)
Inequivalent atoms, fractional coordinates:
1 Sr 0.0000 0.0000 0.0000  6 Cu 2.44
2 Hf 0.5000 0.5000 0.5000  12 Cu 3.45
3 Cu 0.0000 0.0000 0.5000  2 Sr 2.44

Output
M_tot = 0.00 Bohr magnetons per cell
Fermi-level density of states = 5.5 states/eV per cell



Short version: version a is the most stable of them.



Version a
A plane-wave DFT calculation with PBE was carried out for a relaxed SrHf2Cu crystal.

a b c (Å): 7.0773 7.0773 7.0773
angles (deg): 90.00 90.00 90.00
With the nearest neighbours (Å) after each atom.
Space group Fm-3m (No. 225)
Inequivalent atoms, fractional coordinates:
1 Sr 0.0000 0.0000 0.0000  8 Hf 3.06
2 Hf 0.2500 0.2500 0.2500  4 Cu 3.06, 4 Sr 3.06
3 Cu 0.0000 0.0000 0.5000  8 Hf 3.06

Output
M_tot = 0.00 Bohr magnetons per cell
Fermi-level density of states = 29.8 states/eV per cell



Version b
A plane-wave DFT calculation with PBE was carried out for a relaxed SrHf2Cu crystal.

a b c (Å): 5.4340 5.4340 17.7798
angles (deg): 90.00 90.00 90.00
With the nearest neighbours (Å) after each atom.
Space group I-42d (No. 122)
Inequivalent atoms, fractional coordinates:
1 Sr 0.0000 0.0000 0.0000  8 Hf 3.76-3.77, 4 Cu 3.84
2 Hf 0.0012 0.2500 0.6250  2 Cu 2.60, 2 Hf 2.72
3 Cu 0.0000 0.0000 0.5000  4 Hf 2.60

Output
M_tot = 0.00 Bohr magnetons per cell
Fermi-level density of states = 15.4 states/eV per cell



Short version: version a is the most stable of them.



Version a
A plane-wave DFT calculation with PBE was carried out for a relaxed Sr2HfCu crystal.

a b c (Å): 11.1032 11.1032 4.9922
angles (deg): 90.00 90.00 90.00
With the nearest neighbours (Å) after each atom.
Space group I-42d (No. 122)
Inequivalent atoms, fractional coordinates:
1 Sr 0.1003 0.2500 0.1250  2 Cu 3.06
2 Hf 0.0000 0.0000 0.5000  2 Cu 2.50
3 Cu 0.0000 0.0000 0.0000  2 Hf 2.50

Output
M_tot = 0.00 Bohr magnetons per cell
Fermi-level density of states = 22.0 states/eV per cell



Version b
A plane-wave DFT calculation with PBE was carried out for a relaxed Sr2HfCu crystal.

a b c (Å): 7.8672 7.8672 7.8672
angles (deg): 90.00 90.00 90.00
With the nearest neighbours (Å) after each atom.
Space group Fm-3m (No. 225)
Inequivalent atoms, fractional coordinates:
1 Sr 0.2500 0.2500 0.2500  4 Cu 3.41, 4 Hf 3.41
2 Hf 0.0000 0.0000 0.0000  8 Sr 3.41
3 Cu 0.0000 0.0000 0.5000  8 Sr 3.41

Output
M_tot = 0.00 Bohr magnetons per cell
Fermi-level density of states = 16.3 states/eV per cell



Short version: version a is the most stable of them.



Version a
A plane-wave DFT calculation with PBE was carried out for a relaxed Sr3HfCu crystal.

a b c (Å): 5.8121 5.8121 5.8121
angles (deg): 90.00 90.00 90.00
With the nearest neighbours (Å) after each atom.
Space group Pm-3m (No. 221)
Inequivalent atoms, fractional coordinates:
1 Sr 0.0000 0.0000 0.5000  2 Cu 2.91
2 Hf 0.5000 0.5000 0.5000  12 Sr 4.11
3 Cu 0.0000 0.0000 0.0000  6 Sr 2.91

Output
M_tot = 2.40 Bohr magnetons per cell
Fermi-level density of states = 12.7 states/eV per cell



Version b
A plane-wave DFT calculation with PBE was carried out for a relaxed Sr3HfCu crystal.

a b c (Å): 6.2043 6.2043 6.2043
angles (deg): 90.00 90.00 90.00
With the nearest neighbours (Å) after each atom.
Space group Pm-3m (No. 221)
Inequivalent atoms, fractional coordinates:
1 Sr 0.0000 0.0000 0.5000  2 Hf 3.10
2 Hf 0.0000 0.0000 0.0000  6 Sr 3.10
3 Cu 0.5000 0.5000 0.5000  12 Sr 4.39

Output
M_tot = 2.80 Bohr magnetons per cell
Fermi-level density of states = 7.0 states/eV per cell



Short version: version a is the most stable of them.